(1)
Density functional theory data (PBE) for a relaxed structure of PaSb2O5.

Lattice parameters (Å, degrees): 6.682 7.769 10.306 90.00 90.00 90.00
Atoms (fractional coordinates):
Pa 0.494 0.250 0.490
Pa 0.506 0.750 0.510
Pa 0.994 0.750 0.010
Pa 0.006 0.250 0.990
Sb 0.573 0.540 0.858
Sb 0.427 0.460 0.142
Sb 0.073 0.460 0.642
Sb 0.427 0.040 0.142
Sb 0.927 0.540 0.358
Sb 0.573 0.960 0.858
Sb 0.927 0.960 0.358
Sb 0.073 0.040 0.642
O 0.142 0.250 0.522
O 0.858 0.750 0.478
O 0.642 0.750 0.978
O 0.358 0.250 0.022
O 0.372 0.995 0.598
O 0.628 0.005 0.402
O 0.872 0.005 0.902
O 0.628 0.495 0.402
O 0.128 0.995 0.098
O 0.372 0.505 0.598
O 0.128 0.505 0.098
O 0.872 0.495 0.902
O 0.116 0.250 0.772
O 0.884 0.750 0.228
O 0.616 0.750 0.728
O 0.384 0.250 0.272
O 0.729 0.250 0.606
O 0.271 0.750 0.394
O 0.229 0.750 0.894
O 0.771 0.250 0.106

Properties
Size of the total moment in μB per atom: 0.0000
Raw formation energy in eV per atom: -2.046
V in Å³ per atom: 16.719



(2)
Density functional theory data (PBE) for a relaxed structure of ThTe3.

Lattice parameters (Å, degrees): 4.365 4.837 6.417 112.14 109.88 90.00
Atoms (fractional coordinates):
Te 0.262 0.679 0.524
Te 0.500 0.417 0.000
Te 0.738 0.154 0.476
Th 0.000 0.917 0.000

Properties
Size of the total moment in μB per atom: 0.0000
Raw formation energy in eV per atom: -0.663
V in Å³ per atom: 29.183



(3)
Density functional theory data (PBE) for a relaxed structure of AcDyTh2.

Lattice parameters (Å, degrees): 5.830 5.830 5.830 60.00 60.00 60.00
Atoms (fractional coordinates):
Ac 0.500 0.500 0.500
Th 0.250 0.250 0.250
Th 0.750 0.750 0.750
Dy 0.000 0.000 0.000

Properties
Size of the total moment in μB per atom: 0.0002
ΔE to the lowest computed polymorph in meV/atom: 188
ΔH_f (0 K) in kJ/mol of formula units: 116
V in Å³ per atom: 35.030



(4)
Density functional theory data (PBE) for a relaxed structure of HoTc2PC.

Lattice parameters (Å, degrees): 3.818 5.838 7.144 90.00 90.00 109.09
Atoms (fractional coordinates):
Ho 0.459 0.917 0.750
Ho 0.541 0.083 0.250
Tc 0.170 0.340 0.940
Tc 0.830 0.660 0.060
Tc 0.170 0.340 0.560
Tc 0.830 0.660 0.440
P 0.734 0.467 0.750
P 0.266 0.533 0.250
C 0.000 0.000 0.000
C 0.000 0.000 0.500

Properties
Size of the total moment in μB per atom: 0.0000
ΔH_f (0 K) in kJ/mol of formula units: -302
V in Å³ per atom: 15.049



(5)
Density functional theory data (PBE) for a relaxed structure of SrTe2IO.

Lattice parameters (Å, degrees): 6.566 6.566 6.373 90.00 90.00 90.00
Last column: magnetic moment on the atom in μB.
Atoms (fractional coordinates):
I 0.000 0.000 0.500  0.14
Sr 0.000 0.000 0.000  -0.01
Te 0.000 0.500 0.000  0.76
Te 0.500 0.000 0.000  0.76
O 0.500 0.500 0.500  1.42

Properties
Size of the total moment in μB per atom: 1.0017
ΔE to the lowest computed polymorph in meV/atom: 1117
Raw formation energy in eV per atom: 0.374
V in Å³ per atom: 54.949



(6)
Density functional theory data (PBE) for a relaxed structure of AcPuTh2P4.

Lattice parameters (Å, degrees): 4.200 7.278 7.263 70.46 90.00 90.00
Last column: magnetic moment on the atom in μB.
Atoms (fractional coordinates):
Ac 0.500 0.500 0.000  0.02
Pu 0.000 0.500 0.500  5.22
Th 0.000 0.000 0.000  0.06
Th 0.500 0.000 0.500  0.03
P 0.000 0.763 0.737  -0.02
P 0.000 0.237 0.263  -0.02
P 0.500 0.754 0.258  -0.05
P 0.500 0.246 0.742  -0.05

Properties
Size of the total moment in μB per atom: 0.7050
ΔH_f (0 K) in kJ/mol of formula units: -1087
V in Å³ per atom: 26.149



(7)
Density functional theory data (PBE) for a relaxed structure of Pm12Pb6I.

Lattice parameters (Å, degrees): 8.988 8.988 8.988 99.26 99.26 99.26
Atoms (fractional coordinates):
Pm 0.807 0.579 0.447
Pm 0.447 0.807 0.579
Pm 0.579 0.447 0.807
Pm 0.193 0.421 0.553
Pm 0.553 0.193 0.421
Pm 0.421 0.553 0.193
Pm 0.075 0.979 0.335
Pm 0.021 0.665 0.925
Pm 0.665 0.925 0.021
Pm 0.925 0.021 0.665
Pm 0.979 0.335 0.075
Pm 0.335 0.075 0.979
Pb 0.690 0.876 0.359
Pb 0.641 0.310 0.124
Pb 0.124 0.641 0.310
Pb 0.310 0.124 0.641
Pb 0.359 0.690 0.876
Pb 0.876 0.359 0.690
I 0.000 0.000 0.000

Properties
Size of the total moment in μB per atom: 0.0000
Raw formation energy in eV per atom: -0.266
V in Å³ per atom: 36.540



(8)
Density functional theory data (PBE) for a relaxed structure of K5PuSe4.

Lattice parameters (Å, degrees): 4.714 8.504 10.202 114.60 103.36 90.00
Last column: magnetic moment on the atom in μB.
Atoms (fractional coordinates):
K 0.827 0.580 0.654  0.00
K 0.827 0.073 0.653  0.00
K 0.173 0.927 0.347  0.00
K 0.500 0.500 0.000  0.00
K 0.173 0.420 0.346  0.00
Pu 0.500 0.000 0.000  5.17
Se 0.326 0.826 0.651  -0.03
Se 0.000 0.775 0.000  -0.07
Se 0.674 0.174 0.349  -0.03
Se 0.000 0.225 0.000  -0.07

Properties
Size of the total moment in μB per atom: 0.5000
Raw formation energy in eV per atom: -1.129
V in Å³ per atom: 35.968